No. 1
A relaxed structure of Sn2TePt2, computed with PBE-GGA.

CIF file:
```
data_Sn2TePt2
_symmetry_space_group_name_H-M 'I 4/m m m'
_symmetry_Int_Tables_number 139
_symmetry_space_group_name_Hall '-I 4 2'
_cell_length_a 4.3895
_cell_length_b 4.3895
_cell_length_c 11.9070
_cell_angle_alpha 90.00
_cell_angle_beta 90.00
_cell_angle_gamma 90.00
loop_
_atom_site_label
_atom_site_type_symbol
_atom_site_fract_x
_atom_site_fract_y
_atom_site_fract_z
Sn1 Sn 0.0000 0.5000 0.2500
Te1 Te 0.0000 0.0000 0.0000
Pt1 Pt 0.0000 0.0000 0.3858
```

Output
energy above the lowest structure with this stoichiometry = 99 meV/atom
uncorrected formation energy = -136 meV per atom

=====

No. 2
A relaxed structure of TiSnTePt2, computed with PBE-GGA.

CIF file:
```
data_TiSnTePt2
_symmetry_space_group_name_H-M 'P 4/m m m'
_symmetry_Int_Tables_number 123
_symmetry_space_group_name_Hall '-P 4 2'
_cell_length_a 4.9199
_cell_length_b 4.9199
_cell_length_c 5.6548
_cell_angle_alpha 90.00
_cell_angle_beta 90.00
_cell_angle_gamma 90.00
loop_
_atom_site_label
_atom_site_type_symbol
_atom_site_fract_x
_atom_site_fract_y
_atom_site_fract_z
Ti1 Ti 0.0000 0.0000 0.0000
Sn1 Sn 0.5000 0.5000 0.5000
Te1 Te 0.5000 0.5000 0.0000
Pt1 Pt 0.0000 0.5000 0.5000
```

Output
uncorrected formation energy = 902 meV per atom

=====

No. 3
A relaxed structure of ThSnPt5, computed with PBE-GGA.

CIF file:
```
data_ThSnPt5
_symmetry_space_group_name_H-M 'P n m a'
_symmetry_Int_Tables_number 62
_cell_length_a 8.7818
_cell_length_b 5.5370
_cell_length_c 10.9508
_cell_angle_alpha 90.00
_cell_angle_beta 90.00
_cell_angle_gamma 90.00
loop_
_symmetry_equiv_pos_as_xyz
'x,y,z'
'-x,-y,-z'
'-x+1/2,-y,z+1/2'
'x+1/2,y,-z+1/2'
'x+1/2,-y+1/2,-z+1/2'
'-x+1/2,y+1/2,z+1/2'
'-x,y+1/2,-z'
'x,-y+1/2,z'
loop_
_atom_site_label
_atom_site_type_symbol
_atom_site_fract_x
_atom_site_fract_y
_atom_site_fract_z
Th1 Th 0.2481 0.2500 0.0470
Sn1 Sn 0.1559 0.7500 0.8486
Pt1 Pt 0.0615 0.0080 0.2979
Pt2 Pt 0.0773 0.7500 0.0780
Pt3 Pt 0.0883 0.2500 0.5195
Pt4 Pt 0.1818 0.2500 0.7774
```

Output
calculated formation energy = -0.74 eV/atom

=====

No. 4
A relaxed structure of Th2SnPt9, computed with PBE-GGA.

CIF file:
```
data_Th2SnPt9
_symmetry_space_group_name_H-M 'P 4/m m m'
_symmetry_Int_Tables_number 123
_symmetry_space_group_name_Hall '-P 4 2'
_cell_length_a 4.1943
_cell_length_b 4.1943
_cell_length_c 12.4589
_cell_angle_alpha 90.00
_cell_angle_beta 90.00
_cell_angle_gamma 90.00
loop_
_atom_site_label
_atom_site_type_symbol
_atom_site_fract_x
_atom_site_fract_y
_atom_site_fract_z
Th1 Th 0.0000 0.0000 0.1716
Sn1 Sn 0.0000 0.0000 0.5000
Pt1 Pt 0.0000 0.5000 0.0000
Pt2 Pt 0.0000 0.5000 0.3409
Pt3 Pt 0.5000 0.5000 0.1719
Pt4 Pt 0.5000 0.5000 0.5000
```

Output
calculated formation energy = -0.86 eV/atom

=====

No. 5
A relaxed structure of Th2SnPt, computed with PBE-GGA.

CIF file:
```
data_Th2SnPt
_symmetry_space_group_name_H-M 'P 4/m m m'
_symmetry_Int_Tables_number 123
_symmetry_space_group_name_Hall '-P 4 2'
_cell_length_a 3.4660
_cell_length_b 3.4660
_cell_length_c 8.6435
_cell_angle_alpha 90.00
_cell_angle_beta 90.00
_cell_angle_gamma 90.00
loop_
_atom_site_label
_atom_site_type_symbol
_atom_site_fract_x
_atom_site_fract_y
_atom_site_fract_z
Th1 Th 0.0000 0.0000 0.2229
Sn1 Sn 0.5000 0.5000 0.5000
Pt1 Pt 0.5000 0.5000 0.0000
```

Output
calculated formation energy = -0.77 eV/atom
energy above the lowest structure with this stoichiometry = 0 meV/atom

=====

No. 6
A relaxed structure of Th2SnPt, computed with PBE-GGA.

CIF file:
```
data_Th2SnPt
_symmetry_space_group_name_H-M 'R -3 m'
_symmetry_Int_Tables_number 166
_symmetry_space_group_name_Hall '-R 3 2"'
_cell_length_a 3.8689
_cell_length_b 3.8689
_cell_length_c 30.4942
_cell_angle_alpha 90.00
_cell_angle_beta 90.00
_cell_angle_gamma 120.00
loop_
_atom_site_label
_atom_site_type_symbol
_atom_site_fract_x
_atom_site_fract_y
_atom_site_fract_z
Th1 Th 0.0000 0.0000 0.1060
Sn1 Sn 0.0000 0.0000 0.0000
Pt1 Pt 0.0000 0.0000 0.5000
```

Output
calculated formation energy = -0.30 eV/atom
energy above the lowest structure with this stoichiometry = 469 meV/atom

=====

No. 7
A relaxed structure of Th3SnPt, computed with PBE-GGA.

CIF file:
```
data_Th3SnPt
_symmetry_space_group_name_H-M 'P 1 21/m 1'
_symmetry_Int_Tables_number 11
_cell_length_a 6.1693
_cell_length_b 6.9186
_cell_length_c 7.3965
_cell_angle_alpha 90.00
_cell_angle_beta 112.96
_cell_angle_gamma 90.00
loop_
_symmetry_equiv_pos_as_xyz
'x,y,z'
'-x,-y,-z'
'-x,y+1/2,-z'
'x,-y+1/2,z'
loop_
_atom_site_label
_atom_site_type_symbol
_atom_site_fract_x
_atom_site_fract_y
_atom_site_fract_z
Th1 Th 0.0213 0.2500 0.3269
Th2 Th 0.4298 0.5179 0.2047
Sn1 Sn 0.1041 0.2500 0.8322
Pt1 Pt 0.3090 0.7500 0.4918
```

Output
calculated formation energy = -0.54 eV/atom

=====

No. 8
A relaxed structure of ThSnPt4, computed with PBE-GGA.

CIF file:
```
data_ThSnPt4
_symmetry_space_group_name_H-M 'F -4 3 m'
_symmetry_Int_Tables_number 216
_symmetry_space_group_name_Hall 'F -4 2 3'
_cell_length_a 7.7308
_cell_length_b 7.7308
_cell_length_c 7.7308
_cell_angle_alpha 90.00
_cell_angle_beta 90.00
_cell_angle_gamma 90.00
loop_
_atom_site_label
_atom_site_type_symbol
_atom_site_fract_x
_atom_site_fract_y
_atom_site_fract_z
Th1 Th 0.0000 0.0000 0.0000
Sn1 Sn 0.2500 0.2500 0.7500
Pt1 Pt 0.1247 0.1247 0.3753
```

Output
calculated formation energy = -0.82 eV/atom

=====

No. 9
A relaxed structure of ThSn2Pt, computed with PBE-GGA.

CIF file:
```
data_ThSn2Pt
_symmetry_space_group_name_H-M 'R -3 m'
_symmetry_Int_Tables_number 166
_symmetry_space_group_name_Hall '-R 3 2"'
_cell_length_a 5.4013
_cell_length_b 5.4013
_cell_length_c 11.6325
_cell_angle_alpha 90.00
_cell_angle_beta 90.00
_cell_angle_gamma 120.00
loop_
_atom_site_label
_atom_site_type_symbol
_atom_site_fract_x
_atom_site_fract_y
_atom_site_fract_z
Th1 Th 0.0000 0.0000 0.0000
Sn1 Sn 0.0000 0.0000 0.2650
Pt1 Pt 0.0000 0.0000 0.5000
```

Output
calculated formation energy = -0.30 eV/atom

=====

No. 10
A relaxed structure of ThSnPt3, computed with PBE-GGA.

CIF file:
```
data_ThSnPt3
_symmetry_space_group_name_H-M 'P 1 2/m 1'
_symmetry_Int_Tables_number 10
_cell_length_a 7.3788
_cell_length_b 3.9358
_cell_length_c 8.3605
_cell_angle_alpha 90.00
_cell_angle_beta 99.86
_cell_angle_gamma 90.00
loop_
_symmetry_equiv_pos_as_xyz
'x,y,z'
'-x,-y,-z'
'-x,y,-z'
'x,-y,z'
loop_
_atom_site_label
_atom_site_type_symbol
_atom_site_fract_x
_atom_site_fract_y
_atom_site_fract_z
Th1 Th 0.2346 0.0000 0.3182
Sn1 Sn 0.3215 0.5000 0.7430
Pt1 Pt 0.0000 0.5000 0.5000
Pt2 Pt 0.0079 0.5000 0.8435
Pt3 Pt 0.3404 0.5000 0.0796
Pt4 Pt 0.5000 0.5000 0.5000
```

Output
calculated formation energy = -0.71 eV/atom

=====

No. 11
A relaxed structure of Th7Sn2Pt2, computed with PBE-GGA.

CIF file:
```
data_Th7Sn2Pt2
_symmetry_space_group_name_H-M 'C m m m'
_symmetry_Int_Tables_number 65
_symmetry_space_group_name_Hall '-C 2 2'
_cell_length_a 8.6142
_cell_length_b 11.3242
_cell_length_c 6.9501
_cell_angle_alpha 90.00
_cell_angle_beta 90.00
_cell_angle_gamma 90.00
loop_
_atom_site_label
_atom_site_type_symbol
_atom_site_fract_x
_atom_site_fract_y
_atom_site_fract_z
Th1 Th 0.0000 0.0000 0.0000
Th2 Th 0.0000 0.5000 0.2507
Th3 Th 0.2500 0.2500 0.2738
Sn1 Sn 0.1695 0.0000 0.5000
Pt1 Pt 0.0000 0.2637 0.0000
```

Output
calculated formation energy = -0.39 eV/atom

=====

No. 12
A relaxed structure of ThSnPt6, computed with PBE-GGA.

CIF file:
```
data_ThSnPt6
_symmetry_space_group_name_H-M 'P 4/m m m'
_symmetry_Int_Tables_number 123
_symmetry_space_group_name_Hall '-P 4 2'
_cell_length_a 4.1652
_cell_length_b 4.1652
_cell_length_c 8.2549
_cell_angle_alpha 90.00
_cell_angle_beta 90.00
_cell_angle_gamma 90.00
loop_
_atom_site_label
_atom_site_type_symbol
_atom_site_fract_x
_atom_site_fract_y
_atom_site_fract_z
Th1 Th 0.0000 0.0000 0.0000
Sn1 Sn 0.0000 0.0000 0.5000
Pt1 Pt 0.0000 0.5000 0.2581
Pt2 Pt 0.5000 0.5000 0.0000
Pt3 Pt 0.5000 0.5000 0.5000
```

Output
calculated formation energy = -0.73 eV/atom

=====

Number 1: M_tot 0.0 μB/cell. Number 2: M_tot 0.0 μB/cell. Number 3: M_tot 0.0 μB/cell. Number 4: M_tot 0.0 μB/cell. Number 5: M_tot 0.0 μB/cell. Number 6: M_tot 0.0 μB/cell. Number 7: M_tot 0.0 μB/cell. Number 8: M_tot 0.0 μB/cell. Number 9: M_tot 0.0 μB/cell. Number 10: M_tot 0.0 μB/cell. Number 11: M_tot 0.0 μB/cell. Number 12: M_tot 0.0 μB/cell.